Cs3La2PuS6: optimized geometry, GGA-PBE.

abc: 7.455 7.455 8.428
angles: 98.48 98.48 120.00
Fractional positions:
Cs 0.000 0.000 0.000
Cs 0.332 0.668 0.000
Cs 0.668 0.332 0.000
La 0.167 0.833 0.500
La 0.833 0.167 0.500
Pu 0.500 0.500 0.500
S 0.114 0.439 0.316
S 0.237 0.237 0.685
S 0.439 0.114 0.316
S 0.561 0.886 0.684
S 0.763 0.763 0.315
S 0.886 0.561 0.684

For the uncorrected formation energy, the calculation gives -169 kJ per mole of atoms.


NaSr2Ag3Sn4: optimized geometry, GGA-PBE.

abc: 4.539 4.539 13.115
angles: 90.00 90.00 90.00
Fractional positions:
Na 0.000 0.000 0.000
Sr 0.000 0.500 0.737
Sr 0.500 0.000 0.263
Ag 0.000 0.500 0.359
Ag 0.500 0.000 0.641
Ag 0.500 0.500 0.000
Sn 0.000 0.000 0.500
Sn 0.000 0.500 0.148
Sn 0.500 0.000 0.852
Sn 0.500 0.500 0.500

As for the formation energy: -0.303 eV per atom.


NdGdSn2: optimized geometry, GGA-PBE.

abc: 3.502 3.502 9.067
angles: 90.00 90.00 90.00
Fractional positions:
Nd 0.000 0.000 0.000
Gd 0.000 0.000 0.500
Sn 0.500 0.500 0.254
Sn 0.500 0.500 0.746

As for the formation energy: -0.687 eV per atom.


Pm3Ge2BRu3: optimized geometry, GGA-PBE.

abc: 7.308 7.308 3.637
angles: 90.00 90.00 120.00
Fractional positions:
Pm 0.000 0.626 0.000
Pm 0.374 0.374 0.000
Pm 0.626 0.000 0.000
Ge 0.333 0.667 0.500
Ge 0.667 0.333 0.500
B 0.000 0.000 0.000
Ru 0.000 0.220 0.500
Ru 0.220 0.000 0.500
Ru 0.780 0.780 0.500

As for the formation energy: -0.427 eV per atom.


Sr2TcPb: optimized geometry, GGA-PBE.

abc: 6.436 6.436 6.436
angles: 143.68 129.57 63.72
Fractional positions:
Sr 0.000 0.000 0.000
Sr 0.706 0.206 0.500
Tc 0.446 0.446 0.000
Pb 0.278 0.778 0.500

As for the formation energy: 0.334 eV per atom.


KPuBe2O6: optimized geometry, GGA-PBE.

abc: 6.885 6.885 5.728
angles: 102.27 102.27 91.88
Fractional positions:
K 0.085 0.915 0.750
K 0.915 0.085 0.250
Pu 0.304 0.696 0.250
Pu 0.696 0.304 0.750
Be 0.224 0.366 0.862
Be 0.366 0.224 0.362
Be 0.634 0.776 0.638
Be 0.776 0.634 0.138
O 0.009 0.709 0.260
O 0.241 0.618 0.907
O 0.284 0.367 0.172
O 0.291 0.991 0.240
O 0.367 0.284 0.672
O 0.382 0.759 0.593
O 0.618 0.241 0.407
O 0.633 0.716 0.328
O 0.709 0.009 0.760
O 0.716 0.633 0.828
O 0.759 0.382 0.093
O 0.991 0.291 0.740

For the uncorrected formation energy, the calculation gives -219 kJ per mole of atoms.


Na2AcRu3O8: optimized geometry, GGA-PBE.

abc: 6.515 6.515 6.515
angles: 59.77 59.77 59.77
Fractional positions:
Na 0.000 0.000 0.000
Na 0.371 0.371 0.371
Ac 0.763 0.763 0.763
Ru 0.377 0.377 0.880
Ru 0.377 0.880 0.377
Ru 0.880 0.377 0.377
O 0.111 0.111 0.570
O 0.111 0.570 0.111
O 0.148 0.148 0.148
O 0.198 0.616 0.616
O 0.570 0.111 0.111
O 0.609 0.609 0.609
O 0.616 0.198 0.616
O 0.616 0.616 0.198

For the uncorrected formation energy, the calculation gives -137 kJ per mole of atoms.


Ba2H6I: optimized geometry, GGA-PBE.

abc: 8.166 8.166 7.245
angles: 112.27 112.27 31.40
Fractional positions:
Ba 0.190 0.190 0.225
Ba 0.810 0.810 0.775
H 0.238 0.238 0.607
H 0.304 0.475 0.415
H 0.475 0.304 0.415
H 0.525 0.696 0.585
H 0.696 0.525 0.585
H 0.762 0.762 0.393
I 0.500 0.500 0.000

The raw total energy comes out at -3.24 eV/atom.


Cs2Sc3AgF12: optimized geometry, GGA-PBE.

abc: 7.789 7.789 7.789
angles: 60.87 60.87 60.87
Fractional positions:
Cs 0.126 0.126 0.126
Cs 0.874 0.874 0.874
Sc 0.000 0.500 0.500
Sc 0.500 0.000 0.500
Sc 0.500 0.500 0.000
Ag 0.500 0.500 0.500
F 0.108 0.603 0.603
F 0.206 0.206 0.583
F 0.206 0.583 0.206
F 0.397 0.397 0.892
F 0.397 0.892 0.397
F 0.417 0.794 0.794
F 0.583 0.206 0.206
F 0.603 0.108 0.603
F 0.603 0.603 0.108
F 0.794 0.417 0.794
F 0.794 0.794 0.417
F 0.892 0.397 0.397

For the uncorrected formation energy, the calculation gives -329 kJ per mole of atoms.


Ac6La8Dy: optimized geometry, GGA-PBE.

abc: 9.275 9.275 9.275
angles: 62.73 62.73 62.73
Fractional positions:
Ac 0.044 0.744 0.589
Ac 0.256 0.411 0.956
Ac 0.411 0.956 0.256
Ac 0.589 0.044 0.744
Ac 0.744 0.589 0.044
Ac 0.956 0.256 0.411
La 0.074 0.074 0.074
La 0.204 0.264 0.611
La 0.264 0.611 0.204
La 0.389 0.796 0.736
La 0.611 0.204 0.264
La 0.736 0.389 0.796
La 0.796 0.736 0.389
La 0.926 0.926 0.926
Dy 0.500 0.500 0.500

As for the formation energy: 0.091 eV per atom.


BaCa3Ag3: optimized geometry, GGA-PBE.

abc: 8.248 8.248 8.248
angles: 90.00 90.00 90.00
Fractional positions:
Ba 0.000 0.000 0.000
Ba 0.500 0.500 0.500
Ca 0.000 0.250 0.500
Ca 0.000 0.750 0.500
Ca 0.250 0.500 0.000
Ca 0.500 0.000 0.250
Ca 0.500 0.000 0.750
Ca 0.750 0.500 0.000
Ag 0.000 0.500 0.250
Ag 0.000 0.500 0.750
Ag 0.250 0.000 0.500
Ag 0.500 0.250 0.000
Ag 0.500 0.750 0.000
Ag 0.750 0.000 0.500

As for the formation energy: 0.057 eV per atom.


K2SiAg: optimized geometry, GGA-PBE.

abc: 4.589 6.276 6.276
angles: 51.52 90.00 90.00
Fractional positions:
K 0.000 0.000 0.000
K 0.500 0.305 0.305
Si 0.000 0.689 0.689
Ag 0.500 0.620 0.620

For the uncorrected formation energy, the calculation gives 9 kJ per mole of atoms.